# 1
The following is a DFT calculation (PBE) of a relaxed Li3HoCl6 crystal.

- uncorrected energy (eV per atom) = -4.099
- M_tot (μB/f.u.) = 0.00

Lattice parameters (Å, degrees): 6.617 6.659 10.272 90.00 90.02 90.00
Positions (direct):
Li  0.486  0.982  0.768
Li  0.500  0.500  0.000
Li  0.514  0.018  0.232
Li  0.986  0.518  0.268
Li  0.000  0.000  0.500
Li  0.014  0.482  0.732
Ho  0.500  0.500  0.500
Ho  0.000  0.000  0.000
Cl  0.657  0.180  0.941
Cl  0.662  0.171  0.594
Cl  0.637  0.388  0.267
Cl  0.363  0.612  0.733
Cl  0.338  0.829  0.406
Cl  0.343  0.820  0.059
Cl  0.157  0.320  0.441
Cl  0.162  0.329  0.094
Cl  0.137  0.112  0.767
Cl  0.863  0.888  0.233
Cl  0.838  0.671  0.906
Cl  0.843  0.680  0.559

=====

# 2
The following is a DFT calculation (PBE) of a relaxed Ac2Pr4Sn3N2 crystal.

- uncorrected energy (eV per atom) = -6.003
- M_tot (μB/f.u.) = 0.00

Lattice parameters (Å, degrees): 5.001 5.001 13.799 100.44 100.44 90.00
Positions (direct):
Ac  0.307  0.307  0.614
Ac  0.693  0.693  0.386
Pr  0.418  0.918  0.836
Pr  0.918  0.418  0.836
Pr  0.082  0.582  0.164
Pr  0.582  0.082  0.164
Sn  0.000  0.000  0.000
Sn  0.172  0.172  0.343
Sn  0.828  0.828  0.657
N  0.399  0.399  0.798
N  0.601  0.601  0.202